DFT (PBEsol) results for an optimized crystal structure of Ho2Re3Si5.

abc: 10.8928 10.8928 5.4382
angles: 90.00 90.00 90.00
Space group P4/mnc (No. 128)
Unique sites:
Ho  0.0776  0.2369  0.0000 (multiplicity 8)
Re  0.0000  0.5000  0.2500 (multiplicity 4)
Re  0.1227  0.8529  0.5000 (multiplicity 8)
Si  0.0000  0.0000  0.2388 (multiplicity 4)
Si  0.0294  0.3136  0.5000 (multiplicity 8)
Si  0.1721  0.6721  0.2500 (multiplicity 8)

Output
The uncorrected formation energy comes out at -654 meV per atom. The crystal system is tetragonal.


DFT (PBEsol) results for an optimized crystal structure of GaSnPb2.

abc: 7.4979 7.4979 7.4979
angles: 90.00 90.00 90.00
Space group Fm-3m (No. 225)
Unique sites:
Ga  0.0000  0.0000  0.0000 (multiplicity 4)
Sn  0.0000  0.0000  0.5000 (multiplicity 4)
Pb  0.2500  0.2500  0.2500 (multiplicity 8)

Output
The crystal system is cubic. The formation enthalpy at 0 K comes out at 0.08 eV/atom.


DFT (PBEsol) results for an optimized crystal structure of CoSiBi2Ir.

abc: 5.2230 5.2230 4.5983
angles: 90.00 90.00 90.00
Space group P4/mmm (No. 123)
Unique sites:
Co  0.0000  0.0000  0.0000 (multiplicity 1)
Si  0.5000  0.5000  0.0000 (multiplicity 1)
Bi  0.0000  0.5000  0.5000 (multiplicity 2)
Ir  0.0000  0.0000  0.5000 (multiplicity 1)

Output
The uncorrected formation energy comes out at 1087 meV per atom. The crystal system is tetragonal.


Number 1: calculated total energy -8.52 eV per atom. Number 2: calculated total energy -3.82 eV per atom. Number 3: calculated total energy -5.29 eV per atom.